{
  "formula": "Tb2Pm2Dy7",
  "functional": "GGA-PBE",
  "state": "relaxed",
  "cell": [[0.9785, -4.5007, 3.9296], [7.9040, -1.5075, -0.2839], [0.6677, 3.4797, 7.2299]],
  "species": ["Tb", "Tb", "Pm", "Pm", "Dy", "Dy", "Dy", "Dy", "Dy", "Dy", "Dy"],
  "fractional_positions": [[0.8070, 0.4080, 0.4080], [0.1930, 0.5920, 0.5920], [0.5000, 0.2143, 0.7857], [0.5000, 0.7857, 0.2143], [0.1738, 0.0626, 0.5899], [0.8262, 0.4101, 0.9374], [0.8262, 0.9374, 0.4101], [0.1738, 0.5899, 0.0626], [0.0000, 0.0000, 0.0000], [0.5832, 0.7662, 0.7662], [0.4168, 0.2338, 0.2338]],
  "sg": "C2/m, No. 12"
}

{
  "formula": "GdPu2Sc",
  "functional": "GGA-PBE",
  "state": "relaxed",
  "cell": [[-2.0667, -0.1208, 2.5649], [1.0539, -1.1229, 2.9142], [2.8504, 10.5900, 4.9136]],
  "species": ["Sc", "Gd", "Pu", "Pu"],
  "fractional_positions": [[0.5000, 0.5000, 0.5000], [0.0000, 0.0000, 0.0000], [0.0897, 0.0897, 0.7310], [0.9103, 0.9103, 0.2690]],
  "sg": "R-3m, No. 166"
}

{
  "formula": "CsSn2Pb2",
  "functional": "GGA-PBE",
  "state": "relaxed",
  "cell": [[9.5726, 0.0000, 0.0000], [0.0000, 9.5726, 0.0000], [0.0000, 0.0000, 4.1725]],
  "species": ["Pb", "Pb", "Pb", "Pb", "Cs", "Cs", "Sn", "Sn", "Sn", "Sn"],
  "fractional_positions": [[0.1340, 0.6340, 0.5000], [0.6340, 0.8660, 0.5000], [0.8660, 0.3660, 0.5000], [0.3660, 0.1340, 0.5000], [0.0000, 0.0000, 0.0000], [0.5000, 0.5000, 0.0000], [0.3829, 0.8829, 0.0000], [0.8829, 0.6171, 0.0000], [0.6171, 0.1171, 0.0000], [0.1171, 0.3829, 0.0000]],
  "sg": "P4/mbm, No. 127"
}

no.,E above lowest polymorph (kcal/mol of atoms)
1,0.10
2,3.23
3,1.51